Here is LiInRh after structural relaxation from Alexandria via LeMat-Bulk. Energies are from PBE.

Properties
Formation energy in eV per atom: -0.371
SG: P6_3/mmc

Lattice parameters (Å, degrees): 4.326 4.326 5.697 90.00 90.00 120.00
Positions (direct):
Li 0.333 0.667 0.250
Li 0.667 0.333 0.750
In 0.333 0.667 0.750
In 0.667 0.333 0.250
Rh 0.000 0.000 0.000
Rh 0.000 0.000 0.500

***

Here is LiIn4Rh after structural relaxation from Alexandria via LeMat-Bulk. Energies are from PBE.

Properties
Formation energy in eV per atom: 0.273
SG: F-43m

Lattice parameters (Å, degrees): 5.794 5.794 5.794 60.00 60.00 60.00
Positions (direct):
Li 0.000 0.000 0.000
In 0.375 0.375 0.375
In 0.375 0.375 0.874
In 0.375 0.874 0.375
In 0.874 0.375 0.375
Rh 0.750 0.750 0.750

***

Here is LiInRh after structural relaxation from Alexandria via LeMat-Bulk. Energies are from PBE.

Properties
Formation energy in eV per atom: -0.367
SG: Cmcm

Lattice parameters (Å, degrees): 4.663 4.663 5.408 90.00 90.00 120.77
Positions (direct):
Li 0.000 0.000 0.000
Li 0.000 0.000 0.500
In 0.327 0.673 0.750
In 0.673 0.327 0.250
Rh 0.344 0.656 0.250
Rh 0.656 0.344 0.750

***

Here is LiIn3Rh after structural relaxation from Alexandria via LeMat-Bulk. Energies are from PBE.

Properties
Formation energy in eV per atom: -0.281
SG: P2_1/m

Lattice parameters (Å, degrees): 4.601 4.590 9.365 90.00 104.14 90.00
Positions (direct):
Li 0.164 0.250 0.327
Li 0.836 0.750 0.673
In 0.063 0.750 0.126
In 0.248 0.750 0.497
In 0.429 0.750 0.861
In 0.571 0.250 0.139
In 0.752 0.250 0.503
In 0.937 0.250 0.874
Rh 0.342 0.250 0.681
Rh 0.658 0.750 0.319

***

Here is LiInRh2 after structural relaxation from Alexandria via LeMat-Bulk. Energies are from PBE.

Properties
Formation energy in eV per atom: -0.239
SG: P4/mmm

Lattice parameters (Å, degrees): 3.158 3.158 5.998 90.00 90.00 90.00
Positions (direct):
Li 0.000 0.000 0.000
In 0.000 0.000 0.500
Rh 0.500 0.500 0.229
Rh 0.500 0.500 0.771

***

Here is Li2In8Rh after structural relaxation from Alexandria via LeMat-Bulk. Energies are from PBE.

Properties
Formation energy in eV per atom: -0.188
SG: P4/mmm

Lattice parameters (Å, degrees): 4.574 4.574 12.104 90.00 90.00 90.00
Positions (direct):
Li 0.000 0.000 0.199
Li 0.000 0.000 0.801
In 0.000 0.500 0.000
In 0.000 0.500 0.372
In 0.000 0.500 0.628
In 0.500 0.000 0.000
In 0.500 0.000 0.372
In 0.500 0.000 0.628
In 0.500 0.500 0.189
In 0.500 0.500 0.811
Rh 0.000 0.000 0.500

***

Here is LiInRh2 after structural relaxation from Alexandria via LeMat-Bulk. Energies are from PBE.

Properties
Formation energy in eV per atom: -0.230
SG: I-4m2

Lattice parameters (Å, degrees): 4.771 4.771 4.771 130.50 130.50 72.62
Positions (direct):
Li 0.000 0.000 0.000
In 0.750 0.250 0.500
Rh 0.250 0.750 0.500
Rh 0.500 0.500 0.000

***

Here is Li6InRh after structural relaxation from Alexandria via LeMat-Bulk. Energies are from PBE.

Properties
Formation energy in eV per atom: -0.163
SG: Amm2

Lattice parameters (Å, degrees): 3.997 5.758 5.758 93.41 90.00 90.00
Positions (direct):
Li 0.000 0.000 0.000
Li 0.000 0.460 0.992
Li 0.000 0.992 0.460
Li 0.500 0.229 0.738
Li 0.500 0.727 0.727
Li 0.500 0.738 0.229
In 0.000 0.471 0.471
Rh 0.500 0.234 0.234

***

Here is Li23InRh6 after structural relaxation from Alexandria via LeMat-Bulk. Energies are from PBE.

Properties
Formation energy in eV per atom: -0.082
SG: Fm-3m

Lattice parameters (Å, degrees): 8.627 8.627 8.627 60.00 60.00 60.00
Positions (direct):
Li 0.000 0.000 0.000
Li 0.000 0.000 0.500
Li 0.000 0.500 0.000
Li 0.000 0.500 0.500
Li 0.113 0.629 0.629
Li 0.119 0.119 0.119
Li 0.119 0.119 0.642
Li 0.119 0.642 0.119
Li 0.358 0.881 0.881
Li 0.371 0.371 0.371
Li 0.371 0.371 0.887
Li 0.371 0.887 0.371
Li 0.500 0.000 0.000
Li 0.500 0.000 0.500
Li 0.500 0.500 0.000
Li 0.629 0.113 0.629
Li 0.629 0.629 0.113
Li 0.629 0.629 0.629
Li 0.642 0.119 0.119
Li 0.881 0.358 0.881
Li 0.881 0.881 0.358
Li 0.881 0.881 0.881
Li 0.887 0.371 0.371
In 0.500 0.500 0.500
Rh 0.261 0.261 0.739
Rh 0.261 0.739 0.261
Rh 0.261 0.739 0.739
Rh 0.739 0.261 0.261
Rh 0.739 0.261 0.739
Rh 0.739 0.739 0.261

***

Here is Li8In6Rh after structural relaxation from Alexandria via LeMat-Bulk. Energies are from PBE.

Properties
Formation energy in eV per atom: -0.242
SG: R-3

Lattice parameters (Å, degrees): 7.410 7.410 7.410 60.25 60.25 60.25
Positions (direct):
Li 0.082 0.082 0.082
Li 0.172 0.627 0.315
Li 0.315 0.172 0.627
Li 0.373 0.685 0.828
Li 0.627 0.315 0.172
Li 0.685 0.828 0.373
Li 0.828 0.373 0.685
Li 0.918 0.918 0.918
In 0.051 0.542 0.762
In 0.238 0.949 0.458
In 0.458 0.238 0.949
In 0.542 0.762 0.051
In 0.762 0.051 0.542
In 0.949 0.458 0.238
Rh 0.500 0.500 0.500

***

Here is Li2InRh2 after structural relaxation from Alexandria via LeMat-Bulk. Energies are from PBE.

Properties
Formation energy in eV per atom: -0.162
SG: P4/mbm

Lattice parameters (Å, degrees): 6.893 6.893 3.215 90.00 90.00 90.00
Positions (direct):
Li 0.163 0.337 0.000
Li 0.337 0.837 0.000
Li 0.663 0.163 0.000
Li 0.837 0.663 0.000
In 0.000 0.000 0.500
In 0.500 0.500 0.500
Rh 0.133 0.633 0.500
Rh 0.367 0.133 0.500
Rh 0.633 0.867 0.500
Rh 0.867 0.367 0.500

***

Here is LiIn4Rh5 after structural relaxation from Alexandria via LeMat-Bulk. Energies are from PBE.

Properties
Formation energy in eV per atom: -0.375
SG: P4/mmm

Lattice parameters (Å, degrees): 3.209 3.209 15.694 90.00 90.00 90.00
Positions (direct):
Li 0.000 0.000 0.000
In 0.000 0.000 0.185
In 0.000 0.000 0.395
In 0.000 0.000 0.605
In 0.000 0.000 0.815
Rh 0.500 0.500 0.088
Rh 0.500 0.500 0.294
Rh 0.500 0.500 0.500
Rh 0.500 0.500 0.706
Rh 0.500 0.500 0.912